(a)
The following is a PBE calculation of a relaxed structure of EuPaGa, from Alexandria via LeMat-Bulk.

The calculation puts the magnetization at 8.0 μB per formula unit. As for the volume: 25.6 A^3/atom.

```
3
Lattice="-1.6224 1.6224 7.2912 1.6224 -1.6224 7.2912 1.6224 1.6224 -7.2912" Properties=species:S:1:pos:R:3 pbc="T T T"
Eu 0.0000 0.0000 0.0000
Pa 0.0000 0.0000 4.3059
Ga 0.0000 0.0000 9.5274
```



(b)
The following is a PBE calculation of a relaxed structure of EuPaGa, from Alexandria via LeMat-Bulk.

The calculation puts the magnetization at 6.9 μB per formula unit. As for the volume: 23.0 A^3/atom.

```
3
Lattice="5.1374 0.0000 0.0000 -2.5687 4.4491 0.0000 0.0000 0.0000 3.0232" Properties=species:S:1:pos:R:3 pbc="T T T"
Eu 0.0000 0.0000 0.0000
Pa 2.5687 1.4830 0.0000
Ga 0.0000 2.9661 1.5116
```



Energies in meV/atom, measured from the most stable structure: (a) 0; (b) 180.



(a)
The following is a PBE calculation of a relaxed structure of EuGaPb, from Alexandria via LeMat-Bulk.

The calculation puts the magnetization at 7.0 μB per formula unit. As for the volume: 30.3 A^3/atom.

```
3
Lattice="0.0000 3.5674 3.5674 3.5674 0.0000 3.5674 3.5674 3.5674 0.0000" Properties=species:S:1:pos:R:3 pbc="T T T"
Eu 0.0000 0.0000 0.0000
Ga 5.3510 5.3510 5.3510
Pb 3.5674 3.5674 3.5674
```



(b)
The following is a PBE calculation of a relaxed structure of EuGaPb, from Alexandria via LeMat-Bulk.

The calculation puts the magnetization at 7.0 μB per formula unit. As for the volume: 28.8 A^3/atom.

```
3
Lattice="4.6539 0.0000 0.0000 -2.3270 4.0304 0.0000 0.0000 0.0000 4.6030" Properties=species:S:1:pos:R:3 pbc="T T T"
Eu 0.0000 0.0000 0.0000
Ga 0.0000 2.6870 2.9431
Pb 2.3270 1.3435 2.0172
```



Energies in meV/atom, measured from the most stable structure: (a) 81; (b) 0.